1.
## Li3Ge2Au6 (PBE)

Data for an optimized crystal structure of Li3Ge2Au6.

a b c (Å): 4.1700 4.1700 23.8388
angles (deg): 90.00 90.00 90.00
With the nearest neighbours (Å) after each atom.
Space group I4/mmm (No. 139)
One atom of each set of equivalent atoms:
Li 0.0000 0.0000 0.0000 (multiplicity 2)  8 Au 2.59
Li 0.0000 0.0000 0.1512 (multiplicity 4)  5 Au 2.70-2.94, 4 Ge 2.99
Ge 0.0000 0.0000 0.3689 (multiplicity 4)  5 Au 2.49-2.62
Au 0.0000 0.0000 0.2643 (multiplicity 4)  1 Ge 2.49, 1 Li 2.70
Au 0.0000 0.5000 0.0643 (multiplicity 8)  2 Li 2.59, 2 Ge 2.62

---

2.
## LiGe2Au2 (PBE)

Data for an optimized crystal structure of LiGe2Au2.

## Properties
Energy above the lowest structure with this stoichiometry   0 meV/atom

a b c (Å): 4.5175 4.5175 10.1537
angles (deg): 90.00 90.00 90.00
With the nearest neighbours (Å) after each atom.
Space group I4/mmm (No. 139)
One atom of each set of equivalent atoms:
Li 0.0000 0.0000 0.0000 (multiplicity 2)  8 Au 3.40, 8 Ge 3.42
Ge 0.0000 0.0000 0.3790 (multiplicity 4)  1 Ge 2.46, 4 Au 2.61
Au 0.0000 0.5000 0.2500 (multiplicity 4)  4 Ge 2.61

---

3.
## Li4Ge2Au5 (PBE)

Data for an optimized crystal structure of Li4Ge2Au5.

a b c (Å): 7.0605 2.9099 8.9533
angles (deg): 90.00 94.81 90.00
With the nearest neighbours (Å) after each atom.
Space group P2/m (No. 10)
One atom of each set of equivalent atoms:
Li 0.1748 0.0000 0.3973 (multiplicity 2)  2 Ge 2.79, 8 Au 2.80-3.12, 2 Li 2.91
Li 0.2893 0.0000 0.9347 (multiplicity 2)  6 Au 2.72-2.87, 4 Ge 2.89-2.93, 2 Li 2.91
Ge 0.0667 0.5000 0.1379 (multiplicity 2)  1 Ge 2.57, 2 Au 2.59, 2 Li 2.79
Au 0.1811 0.5000 0.6651 (multiplicity 2)  1 Ge 2.59, 1 Au 2.80, 4 Li 2.80-2.87
Au 0.4338 0.5000 0.1827 (multiplicity 2)  1 Ge 2.59, 4 Li 2.72-2.78, 1 Au 2.84
Au 0.5000 0.5000 0.5000 (multiplicity 1)  6 Au 2.80-2.91, 4 Li 2.81

---

4.
## Li7GeAu3 (PBE)

Data for an optimized crystal structure of Li7GeAu3.

a b c (Å): 2.8718 20.8079 12.3226
angles (deg): 90.00 90.00 90.00
With the nearest neighbours (Å) after each atom.
Space group Cmcm (No. 63)
One atom of each set of equivalent atoms:
Li 0.0000 0.0471 0.0910 (multiplicity 8)  2 Ge 2.60, 2 Au 2.66, 5 Li 2.80-2.87
Li 0.0000 0.0887 0.6307 (multiplicity 8)  4 Au 2.69-2.84, 2 Ge 2.79, 6 Li 2.87-2.97
Li 0.0000 0.1432 0.2500 (multiplicity 4)  4 Li 2.80-2.87, 4 Au 2.97
Li 0.0000 0.2302 0.6004 (multiplicity 8)  5 Au 2.60-2.79, 2 Li 2.87
Ge 0.0000 0.4979 0.7500 (multiplicity 4)  8 Li 2.60-2.79, 2 Ge 2.87
Au 0.0000 0.3277 0.2500 (multiplicity 4)  8 Li 2.63-2.69, 2 Au 2.87
Au 0.0000 0.3497 0.5390 (multiplicity 8)  7 Li 2.60-2.84, 2 Au 2.87

---

5.
## LiGeAu (PBE)

Data for an optimized crystal structure of LiGeAu.

a b c (Å): 4.7079 4.9963 4.7305
angles (deg): 90.00 117.73 90.00
With the nearest neighbours (Å) after each atom.
Space group P2_1/m (No. 11)
One atom of each set of equivalent atoms:
Li 0.1597 0.2500 0.1882 (multiplicity 2)  3 Ge 2.69-2.84, 5 Au 2.73-2.81
Ge 0.4787 0.2500 0.8418 (multiplicity 2)  3 Au 2.65-2.92, 3 Li 2.69-2.84, 2 Ge 2.87
Au 0.1686 0.7500 0.4621 (multiplicity 2)  3 Ge 2.65-2.92, 5 Li 2.73-2.81

---

6.
## LiMg2GeAu4 (PBE)

Data for an optimized crystal structure of LiMg2GeAu4.

a b c (Å): 4.5872 4.5872 23.1669
angles (deg): 90.00 90.00 120.00
With the nearest neighbours (Å) after each atom.
Space group R-3m (No. 166, hexagonal axes)
One atom of each set of equivalent atoms:
Li 0.0000 0.0000 0.0000 (multiplicity 3)  8 Au 2.79-2.82
Mg 0.0000 0.0000 0.2518 (multiplicity 6)  8 Au 2.75-3.01
Ge 0.0000 0.0000 0.5000 (multiplicity 3)  8 Au 2.84-3.00
Au 0.0000 0.0000 0.1219 (multiplicity 6)  4 Mg 2.81-3.01, 1 Li 2.82, 3 Ge 2.84
Au 0.0000 0.0000 0.3706 (multiplicity 6)  4 Mg 2.75-2.84, 3 Li 2.79, 1 Ge 3.00

---

7.
## Li2Mg2GeAu4 (PBE)

Data for an optimized crystal structure of Li2Mg2GeAu4.

a b c (Å): 6.6303 6.6303 7.5688
angles (deg): 90.00 90.00 90.00
With the nearest neighbours (Å) after each atom.
Space group I4/mmm (No. 139)
One atom of each set of equivalent atoms:
Li 0.0000 0.0000 0.1820 (multiplicity 4)  1 Ge 2.41, 4 Au 2.56
Mg 0.0000 0.5000 0.2500 (multiplicity 4)  8 Au 3.02, 4 Li 3.35
Ge 0.0000 0.0000 0.5000 (multiplicity 2)  2 Li 2.41, 4 Au 2.53
Au 0.2306 0.2306 0.0000 (multiplicity 8)  1 Ge 2.53, 2 Li 2.56

---

8.
## NaLiGeAu (PBE)

Data for an optimized crystal structure of NaLiGeAu.

a b c (Å): 6.5485 6.5485 6.5485
angles (deg): 90.00 90.00 90.00
With the nearest neighbours (Å) after each atom.
Space group F-43m (No. 216)
One atom of each set of equivalent atoms:
Na 0.0000 0.0000 0.0000 (multiplicity 4)  4 Ge 2.84, 4 Li 2.84
Li 0.2500 0.2500 0.7500 (multiplicity 4)  4 Na 2.84, 4 Au 2.84
Ge 0.2500 0.2500 0.2500 (multiplicity 4)  4 Na 2.84, 4 Au 2.84
Au 0.0000 0.0000 0.5000 (multiplicity 4)  4 Ge 2.84, 4 Li 2.84

---

9.
## NaLiGe2Au (PBE)

Data for an optimized crystal structure of NaLiGe2Au.

a b c (Å): 5.0592 5.0592 4.3294
angles (deg): 90.00 90.00 90.00
With the nearest neighbours (Å) after each atom.
Space group P4/mmm (No. 123)
One atom of each set of equivalent atoms:
Na 0.0000 0.0000 0.0000 (multiplicity 1)  2 Li 2.16
Li 0.0000 0.0000 0.5000 (multiplicity 1)  2 Na 2.16
Ge 0.0000 0.5000 0.0000 (multiplicity 2)  2 Na 2.53
Au 0.5000 0.5000 0.5000 (multiplicity 1)  8 Ge 3.33, 4 Li 3.58

---

10.
## LiNd2GeAu6 (PBE)

Data for an optimized crystal structure of LiNd2GeAu6.

a b c (Å): 5.4721 6.4927 6.9093
angles (deg): 79.10 68.16 72.48
With the nearest neighbours (Å) after each atom.
Space group P-1 (No. 2)
One atom of each set of equivalent atoms:
Li 0.0000 0.0000 0.0000 (multiplicity 1)  6 Au 2.56-2.68
Nd 0.4890 0.7330 0.2576 (multiplicity 2)  8 Au 3.08-3.27, 1 Ge 3.22
Ge 0.0000 0.5000 0.5000 (multiplicity 1)  4 Au 2.67-2.72
Au 0.0160 0.6666 0.8273 (multiplicity 2)  1 Li 2.63, 1 Ge 2.72, 3 Au 2.78-2.89
Au 0.1490 0.0743 0.6006 (multiplicity 2)  1 Li 2.56, 1 Ge 2.67
Au 0.4961 0.7577 0.8060 (multiplicity 2)  1 Li 2.68, 4 Au 2.78-2.98

---

11.
## Li2NdGeAu4 (PBE)

Data for an optimized crystal structure of Li2NdGeAu4.

a b c (Å): 4.5218 4.5218 26.3521
angles (deg): 90.00 90.00 120.00
With the nearest neighbours (Å) after each atom.
Space group R-3m (No. 166, hexagonal axes)
One atom of each set of equivalent atoms:
Li 0.0000 0.0000 0.2358 (multiplicity 6)  7 Au 2.72-2.90
Nd 0.0000 0.0000 0.0000 (multiplicity 3)  8 Au 3.10-3.32
Ge 0.0000 0.0000 0.5000 (multiplicity 3)  8 Au 2.72-2.82
Au 0.0000 0.0000 0.1259 (multiplicity 6)  4 Li 2.72-2.90, 3 Ge 2.82
Au 0.0000 0.0000 0.3969 (multiplicity 6)  1 Ge 2.72, 3 Li 2.76

---

12.
## LiNdGe2Au (PBE)

Data for an optimized crystal structure of LiNdGe2Au.

a b c (Å): 4.2236 4.2236 11.0345
angles (deg): 90.00 90.00 90.00
With the nearest neighbours (Å) after each atom.
Space group I-4m2 (No. 119)
One atom of each set of equivalent atoms:
Li 0.0000 0.0000 0.0000 (multiplicity 2)  4 Ge 2.60
Nd 0.0000 0.5000 0.7500 (multiplicity 2)  8 Ge 3.23, 4 Au 3.47, 4 Li 3.47
Ge 0.0000 0.5000 0.1380 (multiplicity 4)  1 Ge 2.47, 2 Au 2.60, 2 Li 2.60
Au 0.0000 0.0000 0.5000 (multiplicity 2)  4 Ge 2.60

---

13.
## Li3Nd2Ge4Au (PBE)

Data for an optimized crystal structure of Li3Nd2Ge4Au.

a b c (Å): 4.2461 4.2461 10.5664
angles (deg): 90.00 90.00 90.00
With the nearest neighbours (Å) after each atom.
Space group P-4m2 (No. 115)
One atom of each set of equivalent atoms:
Li 0.0000 0.0000 0.0000 (multiplicity 1)  4 Ge 2.61
Li 0.0000 0.5000 0.6263 (multiplicity 2)  5 Ge 2.43-2.51
Nd 0.0000 0.5000 0.2590 (multiplicity 2)  6 Li 3.24-3.46, 8 Ge 3.24-3.32, 2 Au 3.46
Ge 0.0000 0.0000 0.5000 (multiplicity 1)  4 Li 2.51
Ge 0.0000 0.5000 0.8565 (multiplicity 2)  3 Li 2.43-2.61, 2 Au 2.61
Ge 0.5000 0.5000 0.5000 (multiplicity 1)  4 Li 2.51
Au 0.5000 0.5000 0.0000 (multiplicity 1)  4 Ge 2.61

---

14.
## Li4NdGe2Au (PBE)

Data for an optimized crystal structure of Li4NdGe2Au.

a b c (Å): 4.4899 4.4899 26.4156
angles (deg): 90.00 90.00 120.00
With the nearest neighbours (Å) after each atom.
Space group R-3m (No. 166, hexagonal axes)
One atom of each set of equivalent atoms:
Li 0.0000 0.0000 0.0939 (multiplicity 6)  1 Au 2.48, 3 Ge 2.60
Li 0.0000 0.0000 0.3698 (multiplicity 6)  3 Au 2.77, 3 Li 3.00
Nd 0.0000 0.0000 0.5000 (multiplicity 3)  6 Ge 3.10, 8 Li 3.23-3.44
Ge 0.0000 0.0000 0.2308 (multiplicity 6)  3 Li 2.60
Au 0.0000 0.0000 0.0000 (multiplicity 3)  8 Li 2.48-2.77

---

15.
## LiNd2Ge4Au3 (PBE)

Data for an optimized crystal structure of LiNd2Ge4Au3.

a b c (Å): 4.2583 4.2583 11.3593
angles (deg): 90.00 90.00 90.00
With the nearest neighbours (Å) after each atom.
Space group P-4m2 (No. 115)
One atom of each set of equivalent atoms:
Li 0.0000 0.0000 0.0000 (multiplicity 1)  4 Ge 2.61
Nd 0.0000 0.5000 0.7620 (multiplicity 2)  4 Ge 3.24, 6 Au 3.29-3.44, 2 Li 3.44
Ge 0.0000 0.0000 0.5000 (multiplicity 1)  4 Au 2.69, 4 Ge 3.01
Ge 0.0000 0.5000 0.1330 (multiplicity 2)  3 Au 2.53-2.61, 2 Li 2.61
Ge 0.5000 0.5000 0.5000 (multiplicity 1)  4 Au 2.69, 4 Ge 3.01
Au 0.0000 0.5000 0.3554 (multiplicity 2)  5 Ge 2.53-2.69
Au 0.5000 0.5000 0.0000 (multiplicity 1)  4 Ge 2.61

---

16.
## Li2GePbAu4 (PBE)

Data for an optimized crystal structure of Li2GePbAu4.

a b c (Å): 4.6549 4.6549 23.9572
angles (deg): 90.00 90.00 120.00
With the nearest neighbours (Å) after each atom.
Space group R-3m (No. 166, hexagonal axes)
One atom of each set of equivalent atoms:
Li 0.0000 0.0000 0.2493 (multiplicity 6)  7 Au 2.78-2.93
Ge 0.0000 0.0000 0.5000 (multiplicity 3)  8 Au 2.70-2.81
Pb 0.0000 0.0000 0.0000 (multiplicity 3)  8 Au 2.98-3.17
Au 0.0000 0.0000 0.1325 (multiplicity 6)  4 Li 2.80-2.93, 3 Ge 2.81
Au 0.0000 0.0000 0.3875 (multiplicity 6)  1 Ge 2.70, 3 Li 2.78, 3 Pb 2.98

---

17.
## LiPmGeAu2 (PBE)

Data for an optimized crystal structure of LiPmGeAu2.

a b c (Å): 3.8463 4.3571 12.1905
angles (deg): 90.00 90.00 90.00
With the nearest neighbours (Å) after each atom.
Space group Imm2 (No. 44)
One atom of each set of equivalent atoms:
Li 0.0000 0.0000 0.0000 (multiplicity 2)  2 Ge 2.70, 6 Au 2.71-2.91
Pm 0.0000 0.5000 0.2635 (multiplicity 2)  4 Ge 3.18, 4 Au 3.19, 2 Li 3.47
Ge 0.0000 0.5000 0.8688 (multiplicity 2)  3 Au 2.58-2.59, 2 Li 2.70
Au 0.0000 0.0000 0.5100 (multiplicity 2)  2 Ge 2.58, 2 Au 2.81
Au 0.0000 0.5000 0.6561 (multiplicity 2)  1 Ge 2.59, 2 Li 2.71, 2 Au 2.81

---

18.
## LiPm2Ge4Au3 (PBE)

Data for an optimized crystal structure of LiPm2Ge4Au3.

a b c (Å): 4.2295 4.2295 11.4119
angles (deg): 90.00 90.00 90.00
With the nearest neighbours (Å) after each atom.
Space group P-4m2 (No. 115)
One atom of each set of equivalent atoms:
Li 0.0000 0.0000 0.0000 (multiplicity 1)  4 Ge 2.61
Pm 0.0000 0.5000 0.7636 (multiplicity 2)  4 Ge 3.21, 6 Au 3.28-3.43, 2 Li 3.43
Ge 0.0000 0.0000 0.5000 (multiplicity 1)  4 Au 2.69, 4 Ge 2.99
Ge 0.0000 0.5000 0.1336 (multiplicity 2)  3 Au 2.52-2.61, 2 Li 2.61
Ge 0.5000 0.5000 0.5000 (multiplicity 1)  4 Au 2.69, 4 Ge 2.99
Au 0.0000 0.5000 0.3544 (multiplicity 2)  5 Ge 2.52-2.69
Au 0.5000 0.5000 0.0000 (multiplicity 1)  4 Ge 2.61

---

19.
## Li4PmGe2Au (PBE)

Data for an optimized crystal structure of Li4PmGe2Au.

a b c (Å): 4.4839 4.4839 26.2670
angles (deg): 90.00 90.00 120.00
With the nearest neighbours (Å) after each atom.
Space group R-3m (No. 166, hexagonal axes)
One atom of each set of equivalent atoms:
Li 0.0000 0.0000 0.0946 (multiplicity 6)  1 Au 2.49, 3 Ge 2.60
Li 0.0000 0.0000 0.3701 (multiplicity 6)  3 Au 2.76, 3 Li 3.00
Pm 0.0000 0.0000 0.5000 (multiplicity 3)  6 Ge 3.07, 8 Li 3.21-3.41
Ge 0.0000 0.0000 0.2298 (multiplicity 6)  3 Li 2.60
Au 0.0000 0.0000 0.0000 (multiplicity 3)  8 Li 2.49-2.76

---

20.
## Li2PmGe2Au2 (PBE)

Data for an optimized crystal structure of Li2PmGe2Au2.

a b c (Å): 4.3956 4.3956 23.5248
angles (deg): 90.00 90.00 120.00
With the nearest neighbours (Å) after each atom.
Space group R-3m (No. 166, hexagonal axes)
One atom of each set of equivalent atoms:
Li 0.0000 0.0000 0.1420 (multiplicity 6)  4 Ge 2.70-2.97, 3 Au 2.74, 3 Li 2.79
Pm 0.0000 0.0000 0.0000 (multiplicity 3)  6 Ge 3.11, 2 Li 3.34, 6 Au 3.44
Ge 0.0000 0.0000 0.2568 (multiplicity 6)  3 Au 2.59, 1 Li 2.70
Au 0.0000 0.0000 0.4318 (multiplicity 6)  3 Ge 2.59, 3 Li 2.74

---

21.
## LiPrGeAu (PBE)

Data for an optimized crystal structure of LiPrGeAu.

a b c (Å): 7.0553 7.0553 7.0553
angles (deg): 90.00 90.00 90.00
With the nearest neighbours (Å) after each atom.
Space group F-43m (No. 216)
One atom of each set of equivalent atoms:
Li 0.0000 0.0000 0.0000 (multiplicity 4)  4 Ge 3.06, 4 Au 3.06
Pr 0.0000 0.0000 0.5000 (multiplicity 4)  4 Ge 3.06, 4 Au 3.06
Ge 0.2500 0.2500 0.7500 (multiplicity 4)  4 Li 3.06, 4 Pr 3.06
Au 0.2500 0.2500 0.2500 (multiplicity 4)  4 Li 3.06, 4 Pr 3.06

---

22.
## LiPr2Ge3Au4 (PBE)

Data for an optimized crystal structure of LiPr2Ge3Au4.

a b c (Å): 4.4145 4.4145 10.7039
angles (deg): 90.00 90.00 90.00
With the nearest neighbours (Å) after each atom.
Space group P-4m2 (No. 115)
One atom of each set of equivalent atoms:
Li 0.0000 0.0000 0.0000 (multiplicity 1)  4 Au 2.57
Pr 0.0000 0.5000 0.7396 (multiplicity 2)  6 Ge 3.29-3.56, 8 Au 3.38-3.45, 2 Li 3.56
Ge 0.0000 0.5000 0.3581 (multiplicity 2)  5 Au 2.51-2.68
Ge 0.5000 0.5000 0.0000 (multiplicity 1)  4 Au 2.57
Au 0.0000 0.0000 0.5000 (multiplicity 1)  4 Ge 2.68
Au 0.0000 0.5000 0.1235 (multiplicity 2)  3 Ge 2.51-2.57, 2 Li 2.57
Au 0.5000 0.5000 0.5000 (multiplicity 1)  4 Ge 2.68

---

23.
## Li2PrGeAu4 (PBE)

Data for an optimized crystal structure of Li2PrGeAu4.

a b c (Å): 4.5244 4.5244 26.5541
angles (deg): 90.00 90.00 120.00
With the nearest neighbours (Å) after each atom.
Space group R-3m (No. 166, hexagonal axes)
One atom of each set of equivalent atoms:
Li 0.0000 0.0000 0.2351 (multiplicity 6)  7 Au 2.72-2.89
Pr 0.0000 0.0000 0.0000 (multiplicity 3)  8 Au 3.12-3.35
Ge 0.0000 0.0000 0.5000 (multiplicity 3)  8 Au 2.72-2.82
Au 0.0000 0.0000 0.1262 (multiplicity 6)  4 Li 2.72-2.89, 3 Ge 2.82
Au 0.0000 0.0000 0.3977 (multiplicity 6)  1 Ge 2.72, 3 Li 2.76

---

24.
## LiPr2GeAu6 (PBE)

Data for an optimized crystal structure of LiPr2GeAu6.

a b c (Å): 5.4855 6.5270 6.9099
angles (deg): 79.37 68.53 72.52
With the nearest neighbours (Å) after each atom.
Space group P-1 (No. 2)
One atom of each set of equivalent atoms:
Li 0.0000 0.0000 0.0000 (multiplicity 1)  6 Au 2.57-2.69
Pr 0.4898 0.7318 0.2565 (multiplicity 2)  8 Au 3.11-3.29, 1 Ge 3.25
Ge 0.0000 0.5000 0.5000 (multiplicity 1)  4 Au 2.68-2.72
Au 0.0134 0.6679 0.8278 (multiplicity 2)  1 Li 2.63, 1 Ge 2.72, 3 Au 2.79-2.92
Au 0.1465 0.0754 0.6013 (multiplicity 2)  1 Li 2.57, 1 Ge 2.68
Au 0.4958 0.7593 0.8008 (multiplicity 2)  1 Li 2.69, 4 Au 2.79-2.98

---

We obtain E values of -3.33 -3.66 -3.39 -2.93 -3.60 -3.28 -3.06 -3.08 -2.42 -4.05 -3.80 -4.52 -4.28 -3.54 -4.55 -3.46 -4.17 -4.54 -3.54 -4.10 -4.24 -4.46 -3.80 -4.05 eV per atom for the records listed above, in that order.
We obtain energy of formation from the pure elements values of -0.18 -0.12 -0.36 -0.40 -0.33 -0.42 -0.31 -0.30 0.73 -0.48 -0.51 -0.68 -0.58 -0.42 -0.58 -0.30 -0.60 -0.57 -0.42 -0.61 -0.59 -0.62 -0.51 -0.48 eV/atom for the records listed above, in that order.